An optimized crystal structure of Zr4NiOs. Source: Alexandria, functional PBE-GGA.

```
Zr4NiOs
1.0
5.7570 0.0000 -2.9367
-1.4980 5.5587 -2.9367
0.1464 0.1911 7.3983
Ni Zr Os
2 8 2
Direct
0.5000 0.5000 0.0000 Ni
0.0000 0.0000 0.0000 Ni
0.4534 0.9534 0.2601 Zr
0.6933 0.5466 0.7399 Zr
0.5466 0.0466 0.7399 Zr
0.8067 0.3067 0.2601 Zr
0.9534 0.8067 0.2601 Zr
0.0466 0.1933 0.7399 Zr
0.3067 0.4534 0.2601 Zr
0.1933 0.6933 0.7399 Zr
0.7500 0.7500 0.5000 Os
0.2500 0.2500 0.5000 Os
```

Raw total energy ... -8.73 eV per atom
Space-group type ... I4/mcm
Formation energy from the elements ... -0.192 eV/atom

An optimized crystal structure of Dy3SbRh. Source: Alexandria, functional PBE-GGA.

```
Dy3SbRh
1.0
4.2884 0.0000 0.0000
0.0000 7.9410 -0.5637
0.0000 -2.3711 8.0193
Rh Sb Dy
2 2 6
Direct
0.2500 0.9178 0.3913 Rh
0.7500 0.0822 0.6087 Rh
0.2500 0.3514 0.2180 Sb
0.7500 0.6486 0.7820 Sb
0.7500 0.3255 0.9307 Dy
0.2500 0.3266 0.5939 Dy
0.7500 0.6734 0.4061 Dy
0.2500 0.6745 0.0693 Dy
0.2500 0.9413 0.7495 Dy
0.7500 0.0587 0.2505 Dy
```

Raw total energy ... -5.86 eV per atom
Space-group type ... P2_1/m
Uncorrected formation energy ... -0.801 eV/atom

An optimized crystal structure of Pu2GePd2. Source: Alexandria, functional PBE-GGA.

```
Pu2GePd2
1.0
7.2253 0.0000 0.0000
0.0000 7.2253 0.0000
0.0000 0.0000 8.1652
Pu Pd Ge
8 8 4
Direct
0.8229 0.3229 0.0000 Pu
0.1771 0.6771 0.0000 Pu
0.3229 0.1771 0.0000 Pu
0.6771 0.8229 0.0000 Pu
0.1771 0.6771 0.5000 Pu
0.3229 0.1771 0.5000 Pu
0.6771 0.8229 0.5000 Pu
0.8229 0.3229 0.5000 Pu
0.1322 0.3678 0.2500 Pd
0.6322 0.1322 0.2500 Pd
0.6322 0.1322 0.7500 Pd
0.8678 0.6322 0.7500 Pd
0.3678 0.8678 0.2500 Pd
0.1322 0.3678 0.7500 Pd
0.3678 0.8678 0.7500 Pd
0.8678 0.6322 0.2500 Pd
0.0000 0.0000 0.7500 Ge
0.5000 0.5000 0.2500 Ge
0.0000 0.0000 0.2500 Ge
0.5000 0.5000 0.7500 Ge
```

Raw total energy ... -9.20 eV per atom
Space-group type ... P4/mbm
Formation energy from the elements ... -0.468 eV/atom

An optimized crystal structure of TlSnPd. Source: Alexandria, functional PBE-GGA.

```
TlSnPd
1.0
-0.1493 3.3627 -0.5837
-0.6868 0.5427 3.3022
6.2835 -1.4936 -0.2147
Tl Pd Sn
1 1 1
Direct
0.9842 0.9842 0.9683 Tl
0.3169 0.3169 0.6338 Pd
0.6989 0.6989 0.3979 Sn
```

Raw total energy ... -4.04 eV per atom
Space-group type ... I4mm
Formation energy from the elements ... -0.181 eV/atom